Entry from Alexandria: crystalline Li3Mo2P5O18 at its relaxed geometry (PBE with a Hubbard U).

## Properties
Total magnetic moment ... 3.9 μB/f.u.
Uncorrected energy ... -6.980 eV per atom
V ... 342 Å³/f.u.

Cell lengths 6.665, 9.697, 10.674 Å; angles 96.65, 92.80, 92.63 degrees
Element x y z (fractional)
Li (0.016, 0.221, 0.077)
Li (0.381, 0.811, 0.840)
Li (0.451, 0.115, 0.353)
Li (0.549, 0.885, 0.647)
Li (0.619, 0.189, 0.160)
Li (0.984, 0.779, 0.923)
Mo (0.157, 0.239, 0.546)
Mo (0.273, 0.643, 0.095)
Mo (0.727, 0.357, 0.905)
Mo (0.843, 0.761, 0.454)
P (0.021, 0.968, 0.706)
P (0.222, 0.408, 0.856)
P (0.275, 0.980, 0.102)
P (0.316, 0.414, 0.316)
P (0.346, 0.712, 0.402)
P (0.654, 0.288, 0.598)
P (0.684, 0.586, 0.684)
P (0.725, 0.020, 0.898)
P (0.778, 0.592, 0.144)
P (0.979, 0.032, 0.294)
O (0.037, 0.341, 0.916)
O (0.092, 0.940, 0.191)
O (0.121, 0.852, 0.762)
O (0.150, 0.088, 0.396)
O (0.157, 0.737, 0.474)
O (0.160, 0.075, 0.650)
O (0.160, 0.372, 0.411)
O (0.194, 0.378, 0.711)
O (0.209, 0.093, 0.027)
O (0.219, 0.460, 0.194)
O (0.234, 0.567, 0.904)
O (0.280, 0.834, 0.018)
O (0.310, 0.745, 0.266)
O (0.417, 0.557, 0.395)
O (0.420, 0.352, 0.907)
O (0.462, 0.016, 0.188)
O (0.472, 0.201, 0.534)
O (0.472, 0.309, 0.292)
O (0.528, 0.691, 0.708)
O (0.528, 0.799, 0.466)
O (0.538, 0.984, 0.812)
O (0.580, 0.648, 0.093)
O (0.583, 0.443, 0.605)
O (0.690, 0.255, 0.734)
O (0.720, 0.166, 0.982)
O (0.766, 0.433, 0.096)
O (0.781, 0.540, 0.806)
O (0.791, 0.907, 0.973)
O (0.806, 0.622, 0.289)
O (0.840, 0.628, 0.589)
O (0.840, 0.925, 0.350)
O (0.843, 0.263, 0.526)
O (0.850, 0.912, 0.604)
O (0.879, 0.148, 0.238)
O (0.908, 0.060, 0.809)
O (0.963, 0.659, 0.084)